# InGe2PdW

A relaxed structure of InGe2PdW (GGA-PBE, the Alexandria database).

Structure (CIF):
```
data_InGe2PdW
_chemical_formula_sum 'In1 Ge2 Pd1 W1'
_cell_length_a 5.0415
_cell_length_b 5.0415
_cell_length_c 5.2042
_cell_angle_alpha 90.00
_cell_angle_beta 90.00
_cell_angle_gamma 90.00
_space_group_name_H-M_alt 'P 1'
_space_group_IT_number 1
_space_group_name_Hall 'P 1'
loop_
_atom_site_label
_atom_site_fract_x
_atom_site_fract_y
_atom_site_fract_z
In1 0.0000 0.0000 0.0000
Ge1 0.0000 0.5000 0.0000
Ge2 0.5000 0.0000 0.0000
Pd1 0.5000 0.5000 0.5000
W1 0.0000 0.0000 0.5000
```

Values from the calculation:
DFT formation energy ... 9.42 eV per formula unit
Calculated density ... 6.91 g/cm3
DOS at the Fermi energy ... 4.4 states/eV/f.u.

***

# CaP2RhO

A relaxed structure of CaP2RhO (GGA-PBE, the Alexandria database).

Structure (CIF):
```
data_CaP2RhO
_chemical_formula_sum 'Ca1 P2 Rh1 O1'
_cell_length_a 5.1613
_cell_length_b 5.1613
_cell_length_c 3.9865
_cell_angle_alpha 90.00
_cell_angle_beta 90.00
_cell_angle_gamma 90.00
_space_group_name_H-M_alt 'P 1'
_space_group_IT_number 1
_space_group_name_Hall 'P 1'
loop_
_atom_site_label
_atom_site_fract_x
_atom_site_fract_y
_atom_site_fract_z
Ca1 0.0000 0.0000 0.0000
P1 0.0000 0.5000 0.0000
P2 0.5000 0.0000 0.0000
Rh1 0.5000 0.5000 0.5000
O1 0.0000 0.0000 0.5000
```

Values from the calculation:
Calculated density ... 3.45 g/cm3
DOS at the Fermi energy ... 8.5 states/eV/f.u.
Distance to the lowest polymorph of the same formula ... 1209 meV per atom